# PmSm2Rh3

An optimized crystal structure of PmSm2Rh3 (PBE, Alexandria via LeMat-Bulk).

a b c (Å): 3.4965 3.4965 10.5801
angles (deg): 90.00 90.00 90.00
Last column: nearest neighbours and their distance in Å.
Fractional coordinates of all 6 atoms:
Pm  0.5000  0.5000  0.5000  8 Rh 3.05
Sm  0.5000  0.5000  0.8339  8 Rh 3.03
Sm  0.5000  0.5000  0.1661  8 Rh 3.03
Rh  0.0000  0.0000  0.0000  8 Sm 3.03
Rh  0.0000  0.0000  0.6684  4 Sm 3.03, 4 Pm 3.05
Rh  0.0000  0.0000  0.3316  4 Sm 3.03, 4 Pm 3.05

Values from the calculation:
relative energy among the computed polymorphs: 8.3 meV/atom
total moment: 0.000 μB/cell
final energy: -0.4957 Ry/atom
space-group type: P4/mmm (123)
energy of formation from the pure elements: -0.704 eV/atom
calculated volume: 129 Å³ per cell